This record from Alexandria describes HfAl3Br after structural relaxation. The functional is PBE.

Cell and atoms, written as POSCAR:
```
HfAl3Br
1.0
4.882 0.000 0.000
0.000 4.882 0.000
0.000 0.000 4.882
Hf Al Br
1 3 1
direct
0.500 0.500 0.500
0.000 0.500 0.000
0.000 0.000 0.500
0.500 0.000 0.000
0.000 0.000 0.000
```

Calculated values
- ΔE to the lowest computed polymorph: 0.04 eV per formula unit
- Uncorrected energy: -18.3 eV per cell
- Theoretical density: 4.84 g/cm3
- E_form (uncorrected): 0.920 eV/atom

=====

This record from Alexandria describes VCdNiPt after structural relaxation. The functional is PBE.

Cell and atoms, written as POSCAR:
```
VCdNiPt
1.0
-0.222 -4.386 -0.383
3.480 -2.485 1.070
-0.121 -2.525 3.611
Ni V Pt Cd
1 1 1 1
direct
0.250 0.250 0.250
0.000 0.000 0.000
0.750 0.750 0.750
0.500 0.500 0.500
```

Calculated values
- Formation energy: -0.057 eV per atom
- Uncorrected energy: -22.1 eV per cell
- Theoretical density: 11.44 g/cm3

=====

This record from Alexandria describes Tm3Cu2Ag2 after structural relaxation. The functional is PBE.

Cell and atoms, written as POSCAR:
```
Tm3Cu2Ag2
1.0
-0.098 8.061 -3.542
-1.013 8.680 1.077
3.462 8.086 -0.399
Tm Cu Ag
3 2 2
direct
0.000 0.000 0.000
0.219 0.219 0.219
0.781 0.781 0.781
0.106 0.106 0.106
0.894 0.894 0.894
0.396 0.396 0.396
0.604 0.604 0.604
```

Calculated values
- Formation energy: -0.077 eV per atom
- Uncorrected energy: -27.9 eV per cell
- Theoretical density: 8.63 g/cm3

=====

This record from Alexandria describes K2AgN after structural relaxation. The functional is PBE.

Cell and atoms, written as POSCAR:
```
K2AgN
1.0
-3.631 -1.241 3.560
-3.242 3.682 1.824
-5.060 -0.072 -1.338
K Ag N
2 1 1
direct
0.250 0.250 0.250
0.750 0.750 0.750
0.500 0.500 0.500
0.000 0.000 0.000
```

Calculated values
- ΔE to the lowest computed polymorph: 2.47 eV per formula unit
- Uncorrected energy: -9.6 eV per cell
- Theoretical density: 3.28 g/cm3
- E_form (uncorrected): 0.942 eV/atom

=====

This record from Alexandria describes CuI2N2 after structural relaxation. The functional is PBE.

Cell and atoms, written as POSCAR:
```
CuI2N2
1.0
3.961 0.000 0.000
0.000 3.961 0.000
0.000 0.000 8.146
I Cu N
2 1 2
direct
0.000 0.000 0.000
0.000 0.000 0.500
0.500 0.500 0.500
0.000 0.500 0.000
0.500 0.000 0.000
```

Calculated values
- ΔE to the lowest computed polymorph: 8.79 eV per formula unit
- Uncorrected energy: -15.3 eV per cell
- Theoretical density: 4.49 g/cm3
- E_form (uncorrected): 1.713 eV/atom

=====

This record from Alexandria describes Hf2ScIr2 after structural relaxation. The functional is PBE.

Cell and atoms, written as POSCAR:
```
Hf2ScIr2
1.0
3.341 0.000 -0.447
0.000 4.647 0.000
-0.127 0.000 11.738
Hf Sc Ir
4 2 4
direct
0.050 0.750 0.099
0.950 0.250 0.901
0.241 0.750 0.481
0.759 0.250 0.519
0.855 0.750 0.710
0.145 0.250 0.290
0.644 0.750 0.289
0.356 0.250 0.711
0.453 0.750 0.908
0.547 0.250 0.092
```

Calculated values
- ΔE to the lowest computed polymorph: 0.00 eV per formula unit
- Formation energy: -0.793 eV per atom
- Uncorrected energy: -95.9 eV per cell
- Theoretical density: 14.35 g/cm3

=====

This record from Alexandria describes Eu2MgTe after structural relaxation. The functional is PBE.

Cell and atoms, written as POSCAR:
```
Eu2MgTe
1.0
-1.653 -2.072 -3.137
1.120 -3.543 1.750
-6.558 -0.276 3.638
Eu Mg Te
2 1 1
direct
0.000 0.000 0.762
0.000 0.000 0.238
0.500 0.500 0.500
0.500 0.500 0.000
```

Calculated values
- Uncorrected energy: -28.3 eV per cell
- Theoretical density: 5.98 g/cm3
- E_form (uncorrected): -0.761 eV/atom

=====

This record from Alexandria describes Ca2Cd3Ag2 after structural relaxation. The functional is PBE.

Cell and atoms, written as POSCAR:
```
Ca2Cd3Ag2
1.0
-1.192 -4.048 1.606
2.818 3.233 3.893
-6.795 2.487 1.226
Ca Cd Ag
2 3 2
direct
0.619 0.237 0.340
0.381 0.763 0.660
0.299 0.598 0.133
0.000 0.000 0.000
0.701 0.402 0.867
0.093 0.186 0.654
0.907 0.814 0.346
```

Calculated values
- Formation energy: -0.269 eV per atom
- Uncorrected energy: -14.3 eV per cell
- Theoretical density: 6.03 g/cm3

=====

This record from Alexandria describes BeWCl2 after structural relaxation. The functional is PBE.

Cell and atoms, written as POSCAR:
```
BeWCl2
1.0
6.449 1.018 -0.152
3.523 5.497 0.152
-4.303 -4.304 2.371
Be W Cl
1 1 2
direct
0.343 0.843 0.500
0.504 0.504 0.000
0.980 0.980 0.000
0.673 0.173 0.500
```

Calculated values
- ΔE to the lowest computed polymorph: 2.92 eV per formula unit
- Uncorrected energy: -18.2 eV per cell
- Theoretical density: 5.63 g/cm3
- E_form (uncorrected): 0.551 eV/atom

=====

This record from Alexandria describes LaTa after structural relaxation. The functional is PBE.

Cell and atoms, written as POSCAR:
```
LaTa
1.0
13.269 0.000 0.000
0.000 13.269 0.000
0.000 0.000 3.060
La Ta
8 8
direct
0.455 0.814 0.000
0.545 0.186 0.000
0.186 0.455 0.000
0.814 0.545 0.000
0.955 0.314 0.500
0.045 0.686 0.500
0.686 0.955 0.500
0.314 0.045 0.500
0.331 0.266 0.000
0.669 0.734 0.000
0.734 0.331 0.000
0.266 0.669 0.000
0.831 0.766 0.500
0.169 0.234 0.500
0.234 0.831 0.500
0.766 0.169 0.500
```

Calculated values
- ΔE to the lowest computed polymorph: 1.37 eV per formula unit
- Formation energy: 0.965 eV per atom
- Uncorrected energy: -118.8 eV per cell
- Theoretical density: 7.89 g/cm3

=====

This record from Alexandria describes SbAsOs2Br after structural relaxation. The functional is PBE.

Cell and atoms, written as POSCAR:
```
SbAsOs2Br
1.0
-3.083 3.435 -0.028
-3.973 -3.562 0.528
0.320 0.324 4.593
Sb As Os Br
1 1 2 1
direct
0.500 0.500 0.500
0.000 0.000 0.000
0.000 0.000 0.500
0.500 0.000 0.000
0.000 0.500 0.000
```

Calculated values
- Uncorrected energy: -25.4 eV per cell
- Theoretical density: 9.55 g/cm3
- E_form (uncorrected): 1.492 eV/atom

=====

This record from Alexandria describes Zr6CdPb after structural relaxation. The functional is PBE.

Cell and atoms, written as POSCAR:
```
Zr6CdPb
1.0
-5.069 -1.023 0.823
-0.549 -2.076 -5.959
1.566 -4.033 4.626
Zr Cd Pb
6 1 1
direct
0.000 0.082 0.416
0.000 0.584 0.918
0.000 0.584 0.416
0.500 0.415 0.082
0.500 0.918 0.585
0.500 0.918 0.082
0.500 0.417 0.583
0.000 0.083 0.917
```

Calculated values
- Formation energy: -0.119 eV per atom
- Uncorrected energy: -56.9 eV per cell
- Theoretical density: 7.91 g/cm3

=====

Calculated total moment, 0.0; 1.3; 0.0; 0.0; 0.0; 0.0; 14.7; 0.0; 0.1; 0.0; 1.1; 0.0 μB/cell (same order as the records).